## Na3Dy2NiO6 (GGA+U)

Data for a relaxed Na3Dy2NiO6 crystal.

For the calculated total energy, the calculation gives -5.932 eV per atom. The density is 5.84 g/cm3. Its density of states at the Fermi level is 0.00 states/eV/atom.

```
Na3Dy2NiO6
1.0
2.847 -4.946 0.000
2.847 4.946 0.000
-1.851 0.000 5.540
Na Dy Ni O
3 2 1 6
Direct
0.000 0.000 0.000
0.344 0.656 0.000
0.656 0.344 0.000
0.168 0.832 0.500
0.832 0.168 0.500
0.500 0.500 0.500
0.117 0.430 0.288
0.258 0.258 0.703
0.430 0.117 0.288
0.570 0.883 0.712
0.742 0.742 0.297
0.883 0.570 0.712
```